HoPuGaNi: optimized geometry, PBE.

Unit cell a=4.9196 b=4.9196 c=4.9196 alpha=60.00 beta=60.00 gamma=60.00
Last column: magnetic moment on the atom in μB.
Element x y z (fractional)
Pu: 0.5000 0.5000 0.5000  5.18
Ga: 0.7500 0.7500 0.7500  -0.04
Ho: 0.0000 0.0000 0.0000  0.05
Ni: 0.2500 0.2500 0.2500  -0.19

Summary:
The calculation puts the formation energy at -0.244 eV per atom. The density of states at the Fermi level comes out at 2.413 states/eV/atom. As for the uncorrected energy: -7.173 eV/atom.



Ho2Ga4NiRh3: optimized geometry, PBE.

Unit cell a=4.1429 b=4.1429 c=10.3012 alpha=90.00 beta=90.00 gamma=90.00
Element x y z (fractional)
Ga: 0.0000 0.5000 0.3745
Ga: 0.5000 0.5000 0.0000
Ga: 0.0000 0.0000 0.0000
Ga: 0.5000 0.0000 0.6255
Rh: 0.0000 0.0000 0.5000
Rh: 0.5000 0.0000 0.8619
Rh: 0.0000 0.5000 0.1381
Ho: 0.5000 0.0000 0.2578
Ho: 0.0000 0.5000 0.7422
Ni: 0.5000 0.5000 0.5000

Summary:
The calculation puts the formation energy at -0.726 eV per atom. The density of states at the Fermi level comes out at 0.449 states/eV/atom. As for the uncorrected energy: -5.636 eV/atom.



Ho2GaNi5Rh2: optimized geometry, PBE.

Unit cell a=3.7582 b=9.0487 c=9.0487 alpha=90.00 beta=90.00 gamma=90.00
Element x y z (fractional)
Ni: 0.5000 0.1902 0.0577
Ni: 0.5000 0.0000 0.5000
Ni: 0.5000 0.9423 0.1902
Ni: 0.5000 0.0577 0.8098
Ni: 0.5000 0.8098 0.9423
Ni: 0.5000 0.5577 0.6902
Ni: 0.5000 0.5000 0.0000
Ni: 0.5000 0.4423 0.3098
Ni: 0.5000 0.3098 0.5577
Ni: 0.5000 0.6902 0.4423
Ho: 0.0000 0.1687 0.3313
Ho: 0.0000 0.8313 0.6687
Ho: 0.0000 0.6687 0.1687
Ho: 0.0000 0.3313 0.8313
Rh: 0.0000 0.6307 0.8693
Rh: 0.0000 0.1307 0.6307
Rh: 0.0000 0.8693 0.3693
Rh: 0.0000 0.3693 0.1307
Ga: 0.0000 0.0000 0.0000
Ga: 0.0000 0.5000 0.5000

Summary:
The calculation puts the formation energy at -0.332 eV per atom. The density of states at the Fermi level comes out at 1.028 states/eV/atom. As for the uncorrected energy: -5.911 eV/atom.



HoGa3NiRh: optimized geometry, PBE.

Unit cell a=5.5338 b=6.3850 c=6.7974 alpha=118.01 beta=90.00 gamma=90.00
Element x y z (fractional)
Ga: 0.5000 0.6940 0.0000
Ga: 0.5000 0.3060 0.0000
Ga: 0.0000 0.6940 0.0000
Ga: 0.0000 0.3060 0.0000
Ga: 0.2500 0.1566 0.3132
Ga: 0.7500 0.8434 0.6868
Ni: 0.2500 0.3559 0.7119
Ni: 0.7500 0.6441 0.2881
Ho: 0.7500 0.2773 0.5546
Ho: 0.2500 0.7227 0.4454
Rh: 0.2500 0.9408 0.8817
Rh: 0.7500 0.0592 0.1183

Summary:
The calculation puts the formation energy at -0.439 eV per atom. The density of states at the Fermi level comes out at 0.563 states/eV/atom. As for the uncorrected energy: -4.904 eV/atom.



Ho2Ga5Ni2Rh: optimized geometry, PBE.

Unit cell a=4.0186 b=9.0986 c=9.0986 alpha=90.00 beta=90.00 gamma=90.00
Element x y z (fractional)
Ho: 0.0000 0.1832 0.3168
Ho: 0.0000 0.6832 0.1832
Ho: 0.0000 0.3168 0.8168
Ho: 0.0000 0.8168 0.6832
Ni: 0.0000 0.6111 0.8889
Ni: 0.0000 0.8889 0.3889
Ni: 0.0000 0.3889 0.1111
Ni: 0.0000 0.1111 0.6111
Ga: 0.5000 0.7964 0.9420
Ga: 0.5000 0.0000 0.5000
Ga: 0.5000 0.2036 0.0580
Ga: 0.5000 0.9420 0.2036
Ga: 0.5000 0.0580 0.7964
Ga: 0.5000 0.7036 0.4420
Ga: 0.5000 0.5000 0.0000
Ga: 0.5000 0.2964 0.5580
Ga: 0.5000 0.4420 0.2964
Ga: 0.5000 0.5580 0.7036
Rh: 0.0000 0.5000 0.5000
Rh: 0.0000 0.0000 0.0000

Summary:
The calculation puts the formation energy at -0.544 eV per atom. The density of states at the Fermi level comes out at 0.652 states/eV/atom. As for the uncorrected energy: -4.864 eV/atom.



Ho2Ga4Ni3Rh: optimized geometry, PBE.

Unit cell a=4.0520 b=4.0520 c=10.1372 alpha=90.00 beta=90.00 gamma=90.00
Element x y z (fractional)
Ga: 0.0000 0.0000 0.0000
Ga: 0.5000 0.0000 0.6360
Ga: 0.0000 0.5000 0.3640
Ga: 0.5000 0.5000 0.0000
Ni: 0.0000 0.5000 0.1324
Ni: 0.0000 0.0000 0.5000
Ni: 0.5000 0.0000 0.8676
Ho: 0.5000 0.0000 0.2463
Ho: 0.0000 0.5000 0.7537
Rh: 0.5000 0.5000 0.5000

Summary:
The calculation puts the formation energy at -0.638 eV per atom. The density of states at the Fermi level comes out at 0.720 states/eV/atom. As for the uncorrected energy: -5.234 eV/atom.



- Which value of uncorrected energy does entry 6 give?
  -5.234 eV/atom